# Sr2InSi

A relaxed structure of Sr2InSi (PBEsol, the Alexandria database).

- ΔE_f (raw): -449 meV per atom
- E_tot: -28.4 eV for the cell shown

Cell lengths 4.381, 4.738, 11.891 Å; angles 90.00, 90.00, 90.00 degrees
Space group Amm2 (No. 38)
Unique sites:
Sr 0.000 0.000 0.000 (multiplicity 2)
Sr 0.500 0.000 0.283 (multiplicity 2)
In 0.000 0.000 0.704 (multiplicity 2)
Si 0.500 0.000 0.567 (multiplicity 2)

# Sr2InSi

A relaxed structure of Sr2InSi (PBEsol, the Alexandria database).

- ΔE_f (raw): -90 meV per atom
- E_tot: -25.5 eV for the cell shown

Cell lengths 9.546, 3.724, 7.344 Å; angles 90.00, 100.40, 90.00 degrees
Space group C2/m (No. 12)
Unique sites:
Sr 0.239 0.000 0.225 (multiplicity 4)
In 0.000 0.000 0.500 (multiplicity 2)
Si 0.000 0.500 0.000 (multiplicity 2)

# TaInSi2

A relaxed structure of TaInSi2 (PBEsol, the Alexandria database).

- ΔE_f (raw): 68 meV per atom
- E_tot: -53.5 eV for the cell shown

Cell lengths 3.667, 4.600, 8.398 Å; angles 90.00, 90.00, 90.00 degrees
Space group Cmmm (No. 65)
Unique sites:
Ta 0.000 0.000 0.000 (multiplicity 2)
In 0.000 0.000 0.500 (multiplicity 2)
Si 0.000 0.500 0.219 (multiplicity 4)

# TaInSi2

A relaxed structure of TaInSi2 (PBEsol, the Alexandria database).

- ΔE_f (raw): 220 meV per atom
- E_tot: -52.3 eV for the cell shown

Cell lengths 3.847, 3.847, 8.986 Å; angles 90.00, 90.00, 90.00 degrees
Space group I-4m2 (No. 119)
Unique sites:
Ta 0.000 0.000 0.000 (multiplicity 2)
In 0.000 0.500 0.250 (multiplicity 2)
Si 0.000 0.000 0.500 (multiplicity 2)
Si 0.000 0.500 0.750 (multiplicity 2)

# TaInSi4

A relaxed structure of TaInSi4 (PBEsol, the Alexandria database).

- ΔE_f (raw): 259 meV per atom
- E_tot: -147.9 eV for the cell shown

Cell lengths 7.142, 7.142, 7.142 Å; angles 90.00, 90.00, 90.00 degrees
Space group F-43m (No. 216)
Unique sites:
Ta 0.000 0.000 0.000 (multiplicity 4)
In 0.250 0.250 0.250 (multiplicity 4)
Si 0.126 0.126 0.626 (multiplicity 16)

# TaIn2Si2

A relaxed structure of TaIn2Si2 (PBEsol, the Alexandria database).

- ΔE_f (raw): 420 meV per atom
- E_tot: -55.8 eV for the cell shown

Cell lengths 3.269, 3.269, 18.192 Å; angles 90.00, 90.00, 90.00 degrees
Space group I4/mmm (No. 139)
Unique sites:
Ta 0.000 0.000 0.000 (multiplicity 2)
In 0.000 0.000 0.394 (multiplicity 4)
Si 0.000 0.500 0.250 (multiplicity 4)

# In2SiTc

A relaxed structure of In2SiTc (PBEsol, the Alexandria database).

- ΔE_f (raw): 3 meV per atom
- E_tot: -23.0 eV for the cell shown

Cell lengths 3.145, 3.145, 7.556 Å; angles 90.00, 90.00, 90.00 degrees
Space group P4mm (No. 99)
Unique sites:
In 0.000 0.000 0.000 (multiplicity 1)
In 0.500 0.500 0.352 (multiplicity 1)
Si 0.000 0.000 0.617 (multiplicity 1)
Tc 0.500 0.500 0.751 (multiplicity 1)

# InSiTc

A relaxed structure of InSiTc (PBEsol, the Alexandria database).

- Energy above the most stable polymorph in this dataset: 0 meV/atom
- ΔE_f (raw): -371 meV per atom
- E_tot: -84.4 eV for the cell shown

Cell lengths 3.112, 3.112, 20.531 Å; angles 90.00, 90.00, 90.00 degrees
Space group I4/mmm (No. 139)
Unique sites:
In 0.000 0.000 0.070 (multiplicity 4)
Si 0.000 0.000 0.216 (multiplicity 4)
Tc 0.000 0.000 0.338 (multiplicity 4)

# InSi2Tc

A relaxed structure of InSi2Tc (PBEsol, the Alexandria database).

- ΔE_f (raw): 42 meV per atom
- E_tot: -25.6 eV for the cell shown

Cell lengths 3.157, 3.157, 6.421 Å; angles 90.00, 90.00, 90.00 degrees
Space group P4mm (No. 99)
Unique sites:
In 0.000 0.000 0.000 (multiplicity 1)
Si 0.000 0.000 0.464 (multiplicity 1)
Si 0.500 0.500 0.683 (multiplicity 1)
Tc 0.500 0.500 0.305 (multiplicity 1)

# InSiTc

A relaxed structure of InSiTc (PBEsol, the Alexandria database).

- Energy above the most stable polymorph in this dataset: 434 meV/atom
- ΔE_f (raw): 63 meV per atom
- E_tot: -19.8 eV for the cell shown

Cell lengths 3.0129, 3.0129, 6.3649 Å; angles 90.00, 90.00, 120.00 degrees
Space group P3m1 (No. 156)
Unique sites:
In 0.0000 0.0000 0.0000 (multiplicity 1)
Si 0.3333 0.6667 0.6155 (multiplicity 1)
Tc 0.6667 0.3333 0.3536 (multiplicity 1)

# InSiTe2

A relaxed structure of InSiTe2 (PBEsol, the Alexandria database).

- Energy above the most stable polymorph in this dataset: 0 meV/atom
- ΔE_f (raw): 191 meV per atom
- E_tot: -15.0 eV for the cell shown

Cell lengths 3.369, 3.369, 9.021 Å; angles 90.00, 90.00, 90.00 degrees
Space group P4mm (No. 99)
Unique sites:
In 0.000 0.000 0.000 (multiplicity 1)
Si 0.500 0.500 0.230 (multiplicity 1)
Te 0.000 0.000 0.389 (multiplicity 1)
Te 0.500 0.500 0.740 (multiplicity 1)

# InSiTe2

A relaxed structure of InSiTe2 (PBEsol, the Alexandria database).

- Energy above the most stable polymorph in this dataset: 17 meV/atom
- ΔE_f (raw): 208 meV per atom
- E_tot: -14.9 eV for the cell shown

Cell lengths 3.634, 3.634, 7.325 Å; angles 90.00, 90.00, 90.00 degrees
Space group P4/mmm (No. 123)
Unique sites:
In 0.000 0.000 0.000 (multiplicity 1)
Si 0.000 0.000 0.500 (multiplicity 1)
Te 0.500 0.500 0.272 (multiplicity 2)

# In2SiTe

A relaxed structure of In2SiTe (PBEsol, the Alexandria database).

- Energy above the most stable polymorph in this dataset: 0 meV/atom
- ΔE_f (raw): 139 meV per atom
- E_tot: -29.4 eV for the cell shown

Cell lengths 11.141, 3.662, 5.703 Å; angles 90.00, 120.34, 90.00 degrees
Space group Cm (No. 8)
Unique sites:
In 0.000 0.000 0.000 (multiplicity 2)
In 0.173 0.000 0.619 (multiplicity 2)
Si 0.445 0.000 0.574 (multiplicity 2)
Te 0.286 0.500 0.195 (multiplicity 2)

# InSiTe2

A relaxed structure of InSiTe2 (PBEsol, the Alexandria database).

- Energy above the most stable polymorph in this dataset: 57 meV/atom
- ΔE_f (raw): 248 meV per atom
- E_tot: -59.2 eV for the cell shown

Cell lengths 7.263, 7.263, 7.263 Å; angles 90.00, 90.00, 90.00 degrees
Space group Fm-3m (No. 225)
Unique sites:
In 0.000 0.000 0.000 (multiplicity 4)
Si 0.000 0.000 0.500 (multiplicity 4)
Te 0.250 0.250 0.250 (multiplicity 8)

# InSiTe4

A relaxed structure of InSiTe4 (PBEsol, the Alexandria database).

- ΔE_f (raw): 580 meV per atom
- E_tot: -77.4 eV for the cell shown

Cell lengths 8.854, 8.854, 8.854 Å; angles 90.00, 90.00, 90.00 degrees
Space group F-43m (No. 216)
Unique sites:
In 0.000 0.000 0.000 (multiplicity 4)
Si 0.250 0.250 0.750 (multiplicity 4)
Te 0.125 0.125 0.375 (multiplicity 16)

# In2SiTe

A relaxed structure of In2SiTe (PBEsol, the Alexandria database).

- Energy above the most stable polymorph in this dataset: 104 meV/atom
- ΔE_f (raw): 243 meV per atom
- E_tot: -14.3 eV for the cell shown

Cell lengths 3.134, 5.219, 5.911 Å; angles 90.00, 96.96, 90.00 degrees
Space group P2/m (No. 10)
Unique sites:
In 0.200 0.000 0.264 (multiplicity 2)
Si 0.500 0.500 0.500 (multiplicity 1)
Te 0.500 0.500 0.000 (multiplicity 1)

# InSiTe2

A relaxed structure of InSiTe2 (PBEsol, the Alexandria database).

- Energy above the most stable polymorph in this dataset: 24 meV/atom
- ΔE_f (raw): 215 meV per atom
- E_tot: -29.8 eV for the cell shown

Cell lengths 4.020, 5.600, 9.181 Å; angles 90.00, 90.00, 90.00 degrees
Space group Cmm2 (No. 35)
Unique sites:
In 0.000 0.000 0.000 (multiplicity 2)
Si 0.000 0.500 0.222 (multiplicity 2)
Te 0.000 0.000 0.412 (multiplicity 2)
Te 0.000 0.500 0.755 (multiplicity 2)

# In2SiTe

A relaxed structure of In2SiTe (PBEsol, the Alexandria database).

- Energy above the most stable polymorph in this dataset: 155 meV/atom
- ΔE_f (raw): 295 meV per atom
- E_tot: -56.2 eV for the cell shown

Cell lengths 7.238, 7.238, 7.238 Å; angles 90.00, 90.00, 90.00 degrees
Space group Fm-3m (No. 225)
Unique sites:
In 0.250 0.250 0.250 (multiplicity 8)
Si 0.000 0.000 0.000 (multiplicity 4)
Te 0.000 0.000 0.500 (multiplicity 4)

# TiInSi2

A relaxed structure of TiInSi2 (PBEsol, the Alexandria database).

- ΔE_f (raw): 264 meV per atom
- E_tot: -87.0 eV for the cell shown

Cell lengths 7.280, 7.280, 5.509 Å; angles 90.00, 90.00, 90.00 degrees
Space group I-42d (No. 122)
Unique sites:
Ti 0.000 0.000 0.000 (multiplicity 4)
In 0.000 0.000 0.500 (multiplicity 4)
Si 0.236 0.250 0.125 (multiplicity 8)

# Tl2InSi

A relaxed structure of Tl2InSi (PBEsol, the Alexandria database).

- ΔE_f (raw): 312 meV per atom
- E_tot: -12.7 eV for the cell shown

Cell lengths 4.475, 4.576, 4.760 Å; angles 90.00, 90.00, 90.00 degrees
Space group Pmmm (No. 47)
Unique sites:
Tl 0.000 0.000 0.000 (multiplicity 1)
Tl 0.500 0.500 0.000 (multiplicity 1)
In 0.000 0.500 0.500 (multiplicity 1)
Si 0.500 0.000 0.500 (multiplicity 1)

# TlInSi2

A relaxed structure of TlInSi2 (PBEsol, the Alexandria database).

- Energy above the most stable polymorph in this dataset: 0 meV/atom
- ΔE_f (raw): 165 meV per atom
- E_tot: -49.3 eV for the cell shown

Cell lengths 3.7348, 3.7348, 22.3807 Å; angles 90.00, 90.00, 120.00 degrees
Space group R3m (No. 160, hexagonal axes)
Unique sites:
Tl 0.0000 0.0000 0.0000 (multiplicity 3)
In 0.0000 0.0000 0.7742 (multiplicity 3)
Si 0.0000 0.0000 0.2387 (multiplicity 3)
Si 0.0000 0.0000 0.5285 (multiplicity 3)

# TlIn2Si

A relaxed structure of TlIn2Si (PBEsol, the Alexandria database).

- ΔE_f (raw): 229 meV per atom
- E_tot: -26.9 eV for the cell shown

Cell lengths 3.796, 4.146, 12.476 Å; angles 90.00, 90.00, 90.00 degrees
Space group Imm2 (No. 44)
Unique sites:
Tl 0.000 0.000 0.000 (multiplicity 2)
In 0.000 0.000 0.615 (multiplicity 2)
In 0.000 0.500 0.809 (multiplicity 2)
Si 0.000 0.500 0.291 (multiplicity 2)

# TlInSi2

A relaxed structure of TlInSi2 (PBEsol, the Alexandria database).

- Energy above the most stable polymorph in this dataset: 345 meV/atom
- ΔE_f (raw): 510 meV per atom
- E_tot: -30.1 eV for the cell shown

Cell lengths 6.699, 7.799, 3.238 Å; angles 90.00, 95.80, 90.00 degrees
Space group C2/m (No. 12)
Unique sites:
Tl 0.000 0.000 0.000 (multiplicity 2)
In 0.000 0.500 0.000 (multiplicity 2)
Si 0.250 0.250 0.500 (multiplicity 4)

# TlInSi2

A relaxed structure of TlInSi2 (PBEsol, the Alexandria database).

- Energy above the most stable polymorph in this dataset: 349 meV/atom
- ΔE_f (raw): 514 meV per atom
- E_tot: -30.1 eV for the cell shown

Cell lengths 4.222, 4.222, 9.473 Å; angles 90.00, 90.00, 90.00 degrees
Space group I-4m2 (No. 119)
Unique sites:
Tl 0.000 0.000 0.000 (multiplicity 2)
In 0.000 0.500 0.250 (multiplicity 2)
Si 0.000 0.000 0.500 (multiplicity 2)
Si 0.000 0.500 0.750 (multiplicity 2)

# Tl2InSi

A relaxed structure of Tl2InSi (PBEsol, the Alexandria database).

- ΔE_f (raw): 226 meV per atom
- E_tot: -26.2 eV for the cell shown

Cell lengths 4.572, 4.872, 8.773 Å; angles 90.00, 90.00, 90.00 degrees
Space group Cmm2 (No. 35)
Unique sites:
Tl 0.000 0.000 0.000 (multiplicity 2)
Tl 0.000 0.500 0.294 (multiplicity 2)
In 0.000 0.500 0.724 (multiplicity 2)
Si 0.000 0.000 0.524 (multiplicity 2)

# InSiW2

A relaxed structure of InSiW2 (PBEsol, the Alexandria database).

- Energy above the most stable polymorph in this dataset: 0 meV/atom
- ΔE_f (raw): 163 meV per atom
- E_tot: -35.7 eV for the cell shown

Cell lengths 3.209, 3.209, 6.341 Å; angles 90.00, 90.00, 90.00 degrees
Space group P4mm (No. 99)
Unique sites:
In 0.000 0.000 0.000 (multiplicity 1)
Si 0.500 0.500 0.290 (multiplicity 1)
W 0.000 0.000 0.480 (multiplicity 1)
W 0.500 0.500 0.716 (multiplicity 1)

# In2SiW

A relaxed structure of In2SiW (PBEsol, the Alexandria database).

- ΔE_f (raw): 281 meV per atom
- E_tot: -24.4 eV for the cell shown

Cell lengths 3.237, 3.237, 7.334 Å; angles 90.00, 90.00, 90.00 degrees
Space group P4mm (No. 99)
Unique sites:
In 0.000 0.000 0.000 (multiplicity 1)
In 0.500 0.500 0.332 (multiplicity 1)
Si 0.000 0.000 0.600 (multiplicity 1)
W 0.500 0.500 0.740 (multiplicity 1)

# InSiW3

A relaxed structure of InSiW3 (PBEsol, the Alexandria database).

- ΔE_f (raw): 3180 meV per atom
- E_tot: -34.3 eV for the cell shown

Cell lengths 4.794, 4.794, 4.794 Å; angles 90.00, 90.00, 90.00 degrees
Space group Pm-3m (No. 221)
Unique sites:
In 0.000 0.000 0.000 (multiplicity 1)
Si 0.500 0.500 0.500 (multiplicity 1)
W 0.000 0.000 0.500 (multiplicity 3)

# InSiW2

A relaxed structure of InSiW2 (PBEsol, the Alexandria database).

- Energy above the most stable polymorph in this dataset: 253 meV/atom
- ΔE_f (raw): 417 meV per atom
- E_tot: -69.4 eV for the cell shown

Cell lengths 3.302, 4.439, 8.718 Å; angles 90.00, 90.00, 90.00 degrees
Space group Imm2 (No. 44)
Unique sites:
In 0.000 0.000 0.000 (multiplicity 2)
Si 0.000 0.500 0.765 (multiplicity 2)
W 0.000 0.000 0.489 (multiplicity 2)
W 0.000 0.500 0.232 (multiplicity 2)

# In2SiW

A relaxed structure of In2SiW (PBEsol, the Alexandria database).

- ΔE_f (raw): 599 meV per atom
- E_tot: -69.4 eV for the cell shown

Cell lengths 2.9366, 2.9366, 30.1819 Å; angles 90.00, 90.00, 120.00 degrees
Space group R-3m (No. 166, hexagonal axes)
Unique sites:
In 0.0000 0.0000 0.2468 (multiplicity 6)
Si 0.0000 0.0000 0.0000 (multiplicity 3)
W 0.0000 0.0000 0.5000 (multiplicity 3)